A plane-wave DFT calculation with PBE was carried out for an optimized crystal structure of LaTb2Co9.

The structure in POSCAR format:
```
LaTb2Co9
1.0
4.8255 0.0000 1.4361
2.1990 4.2953 1.4361
0.0540 0.0330 8.6435
La Tb Co
1 2 9
Cartesian
0.0000 0.0000 0.0000
6.0630 3.7073 6.1032
1.0156 0.6210 5.4126
4.6714 2.8564 1.9539
2.4072 1.4719 9.5618
3.5393 2.1642 5.7579
2.9360 1.7953 3.3309
5.3715 1.7953 4.0558
4.0459 3.9632 4.0558
4.1426 2.5331 8.1848
3.0327 0.3652 7.4600
1.7071 2.5331 7.4600
```

Computed properties:
V: 178.69 Å³ per cell
symmetry: R-3m, No. 166
DFT formation energy: -0.119 eV per atom



A plane-wave DFT calculation with PBE was carried out for an optimized crystal structure of La7TbCo3.

The structure in POSCAR format:
```
La7TbCo3
1.0
-3.6269 5.3540 0.1879
1.8077 1.4874 -7.4920
-6.3108 -4.3357 1.7283
La Tb Co
7 1 3
Cartesian
-2.7758 -1.5022 -5.0797
-0.5464 -0.0921 -2.2262
-3.6686 -2.3002 -1.3418
-3.7589 1.6955 -0.5703
-6.9179 -0.4748 0.2948
-6.0131 0.2698 -3.4555
0.3485 0.6443 -5.9354
-2.8897 2.4859 -4.3154
-1.9459 4.9361 -3.6012
-4.1891 3.5173 -6.4724
-5.0895 2.7763 -2.7402
```

Computed properties:
V: 345.19 Å³ per cell
symmetry: P3m1, No. 156
DFT formation energy: -0.073 eV per atom



A plane-wave DFT calculation with PBE was carried out for an optimized crystal structure of LaTb2Co.

The structure in POSCAR format:
```
LaTb2Co
1.0
-0.0811 -4.0620 5.0363
-4.5005 -4.1190 -3.3946
7.3421 -4.8774 -3.8157
La Tb Co
4 8 4
Cartesian
-0.7323 -6.1032 0.3479
1.4993 -4.9751 3.2000
3.4928 -6.9552 -2.5219
1.2612 -8.0833 -5.3740
-2.5061 -3.7855 -1.6484
2.3916 -4.1118 -0.5661
2.6068 -7.5060 0.8566
3.0287 -10.7135 -2.9903
5.2666 -9.2729 -0.5256
0.3689 -8.9466 -1.6080
0.1537 -5.5524 -3.0307
-0.2682 -2.3449 0.8162
0.1402 -2.9811 -1.9641
-2.1421 -6.6435 -1.6740
2.6203 -10.0773 -0.2100
4.9026 -6.4149 -0.5000
```

Computed properties:
V: 433.92 Å³ per cell
symmetry: Pnma, No. 62
DFT formation energy: -0.140 eV per atom



A plane-wave DFT calculation with PBE was carried out for an optimized crystal structure of LaTbThCo.

The structure in POSCAR format:
```
LaTbThCo
1.0
3.7614 0.0007 -0.0063
1.8808 3.2579 -0.0028
0.0129 0.0011 9.4931
La Tb Th Co
1 1 1 1
Cartesian
3.3958 1.6594 8.4508
5.2716 2.7454 5.4345
5.2638 2.7469 2.0372
3.3869 1.6602 3.6317
```

Computed properties:
V: 116.32 Å³ per cell
symmetry: P3m1, No. 156
DFT formation energy: 0.003 eV per atom